Model 1:
IrPtPb2: relaxed, PBE.

Cell lengths 6.2641, 7.2636, 3.6231 Å; angles 90.00, 94.13, 90.00 degrees
Closest atoms and distances in Å follow each position.
Space group C2/m (No. 12)
Inequivalent atoms, fractional coordinates:
Ir 0.0000 0.0000 0.0000 x2  8 Pb 2.94-3.07, 2 Pt 3.13
Pt 0.0000 0.5000 0.0000 x2  8 Pb 2.94-3.07, 2 Ir 3.13
Pb 0.2500 0.2500 0.5000 x4  4 Ir 2.94-3.07, 4 Pt 2.94-3.07, 2 Pb 3.13

Computed properties:
**Calculated volume**: 20.55 Å³ per atom
**D(E_F)**: 0.740 states/eV/atom

---

Model 2:
IrPtPb2: relaxed, PBE.

Cell lengths 8.8614, 3.4108, 5.6446 Å; angles 90.00, 102.59, 90.00 degrees
Closest atoms and distances in Å follow each position.
Space group C2/m (No. 12)
Inequivalent atoms, fractional coordinates:
Ir 0.0000 0.0000 0.0000 x2  6 Pb 2.87-2.89
Pt 0.0000 0.5000 0.5000 x2  6 Pb 2.88-2.93
Pb 0.2479 0.5000 0.2454 x4  3 Ir 2.87-2.89, 3 Pt 2.88-2.93

Computed properties:
**Calculated volume**: 20.81 Å³ per atom
**D(E_F)**: 0.540 states/eV/atom

---

Model 3:
IrPtPb2: relaxed, PBE.

Cell lengths 6.1696, 6.1696, 12.5060 Å; angles 90.00, 90.00, 90.00 degrees
Closest atoms and distances in Å follow each position.
Space group I-42d (No. 122)
Inequivalent atoms, fractional coordinates:
Ir 0.0000 0.0000 0.0000 x4  4 Pb 2.65
Pt 0.0000 0.0000 0.5000 x4  4 Pb 2.71
Pb 0.2417 0.2500 0.1250 x8  2 Ir 2.65, 2 Pt 2.71

Computed properties:
**Calculated volume**: 29.75 Å³ per atom
**D(E_F)**: 0.335 states/eV/atom

---

Model 4:
IrPtPb2: relaxed, PBE.

Cell lengths 5.0819, 5.0819, 3.1664 Å; angles 90.00, 90.00, 90.00 degrees
Closest atoms and distances in Å follow each position.
Space group P4/mmm (No. 123)
Inequivalent atoms, fractional coordinates:
Ir 0.0000 0.0000 0.0000 x1  8 Pb 2.99, 2 Ir 3.17
Pt 0.5000 0.5000 0.0000 x1  8 Pb 2.99, 2 Pt 3.17
Pb 0.0000 0.5000 0.5000 x2  4 Ir 2.99, 4 Pt 2.99, 2 Pb 3.17

Computed properties:
**Calculated volume**: 20.44 Å³ per atom
**D(E_F)**: 0.490 states/eV/atom

---

Energy ordering: model 4 at the bottom, the next structure 0.018 eV/atom above.

---

Model 1:
IrPtPb2: relaxed, PBE.

Cell lengths 3.2641, 3.2641, 8.4183 Å; angles 90.00, 90.00, 90.00 degrees
Closest atoms and distances in Å follow each position.
Space group P4mm (No. 99)
Inequivalent atoms, fractional coordinates:
Ir 0.0000 0.0000 0.0000 x1  4 Pt 2.80, 4 Pb 2.93
Pt 0.5000 0.5000 0.8123 x1  4 Ir 2.80, 4 Pb 2.93
Pb 0.0000 0.0000 0.5986 x1  4 Pt 2.93, 4 Pb 3.26
Pb 0.5000 0.5000 0.2148 x1  4 Ir 2.93, 4 Pb 3.26

Computed properties:
**Calculated volume**: 22.42 Å³ per atom
**D(E_F)**: 0.603 states/eV/atom

---

Model 2:
IrPtPb2: relaxed, PBE.

Cell lengths 4.1162, 4.1162, 9.6833 Å; angles 90.00, 90.00, 90.00 degrees
Closest atoms and distances in Å follow each position.
Space group I-4m2 (No. 119)
Inequivalent atoms, fractional coordinates:
Ir 0.0000 0.0000 0.0000 x2  8 Pb 2.91-3.18, 4 Pt 3.18
Pt 0.0000 0.5000 0.2500 x2  8 Pb 2.91-3.18, 4 Ir 3.18
Pb 0.0000 0.0000 0.5000 x2  4 Ir 2.91, 4 Pb 3.18, 4 Pt 3.18
Pb 0.0000 0.5000 0.7500 x2  4 Pt 2.91, 4 Pb 3.18, 4 Ir 3.18

Computed properties:
**Calculated volume**: 20.51 Å³ per atom
**D(E_F)**: 0.624 states/eV/atom

---

Model 3:
IrPtPb2: relaxed, PBE.

Cell lengths 3.1520, 3.1520, 31.4351 Å; angles 90.00, 90.00, 120.00 degrees
Closest atoms and distances in Å follow each position.
Space group R3m (No. 160, hexagonal axes)
Inequivalent atoms, fractional coordinates:
Ir 0.0000 0.0000 0.0000 x3  3 Pt 2.79, 3 Pb 2.87
Pt 0.0000 0.0000 0.2662 x3  3 Ir 2.79, 3 Pb 2.97
Pb 0.0000 0.0000 0.5248 x3  3 Pt 2.97, 6 Pb 3.15
Pb 0.0000 0.0000 0.7372 x3  3 Ir 2.87, 6 Pb 3.15

Computed properties:
**Calculated volume**: 22.54 Å³ per atom
**D(E_F)**: 1.334 states/eV/atom

---

Model 4:
IrPtPb2: relaxed, PBE.

Cell lengths 3.8319, 4.0770, 5.7545 Å; angles 90.00, 109.10, 90.00 degrees
Closest atoms and distances in Å follow each position.
Space group Pm (No. 6)
Inequivalent atoms, fractional coordinates:
Ir 0.0000 0.0000 0.0000 x1  2 Pt 2.71, 5 Pb 2.89
Pt 0.8311 0.5000 0.6708 x1  2 Ir 2.71, 5 Pb 2.90-2.93
Pb 0.2631 0.0000 0.5316 x1  3 Ir 2.89-3.20, 4 Pt 2.90
Pb 0.5639 0.5000 0.1316 x1  4 Ir 2.89, 3 Pt 2.93-3.17

Computed properties:
**Calculated volume**: 21.24 Å³ per atom
**D(E_F)**: 0.415 states/eV/atom

---

Energy ordering: model 4 at the bottom, the next structure 0.086 eV/atom above.

---

Model 1:
IrPtPb: relaxed, PBE.

Cell lengths 2.9362, 3.6746, 10.5292 Å; angles 90.00, 90.00, 90.00 degrees
Closest atoms and distances in Å follow each position.
Space group Imm2 (No. 44)
Inequivalent atoms, fractional coordinates:
Ir 0.0000 0.0000 0.0000 x2  4 Pt 2.73, 2 Ir 2.94, 4 Pb 3.01
Pt 0.0000 0.0000 0.3682 x2  4 Ir 2.73, 2 Pt 2.94
Pb 0.0000 0.0000 0.6790 x2  2 Pb 2.94, 4 Ir 3.01, 5 Pt 3.08-3.27

Computed properties:
**Calculated volume**: 18.93 Å³ per atom
**D(E_F)**: 1.165 states/eV/atom

---

Model 2:
IrPtPb: relaxed, PBE.

Cell lengths 4.4860, 4.4860, 3.1738 Å; angles 90.00, 90.00, 120.00 degrees
Closest atoms and distances in Å follow each position.
Space group P3m1 (No. 156)
Inequivalent atoms, fractional coordinates:
Ir 0.0000 0.0000 0.0000 x1  3 Pb 2.77, 3 Pt 2.84
Pt 0.6667 0.3333 0.6350 x1  3 Pb 2.79, 3 Ir 2.84
Pb 0.3333 0.6667 0.3065 x1  3 Ir 2.77, 3 Pt 2.79

Computed properties:
**Calculated volume**: 18.44 Å³ per atom
**D(E_F)**: 0.521 states/eV/atom

---

Model 3:
IrPtPb: relaxed, PBE.

Cell lengths 6.3125, 6.3125, 6.3125 Å; angles 90.00, 90.00, 90.00 degrees
Closest atoms and distances in Å follow each position.
Space group F-43m (No. 216)
Inequivalent atoms, fractional coordinates:
Ir 0.0000 0.0000 0.0000 x4  4 Pb 2.73, 4 Pt 2.73
Pt 0.2500 0.2500 0.7500 x4  4 Ir 2.73
Pb 0.2500 0.2500 0.2500 x4  4 Ir 2.73

Computed properties:
**Calculated volume**: 20.96 Å³ per atom
**D(E_F)**: 0.629 states/eV/atom

---

Energy ordering: model 3 at the bottom, the next structure 0.132 eV/atom above.

---

Model 1:
TeIrPtPb: relaxed, PBE.

Cell lengths 3.4383, 4.3140, 12.2055 Å; angles 90.00, 90.00, 90.00 degrees
Closest atoms and distances in Å follow each position.
Space group Amm2 (No. 38)
Inequivalent atoms, fractional coordinates:
Te 0.0000 0.0000 0.0000 x2  2 Ir 2.61, 2 Pt 2.70
Ir 0.5000 0.0000 0.1608 x2  2 Te 2.61, 4 Pb 2.85
Pt 0.0000 0.0000 0.3670 x2  2 Te 2.70, 2 Pb 2.80
Pb 0.0000 0.0000 0.7210 x2  2 Pt 2.80, 4 Ir 2.85

Computed properties:
**Calculated volume**: 22.63 Å³ per atom
**D(E_F)**: 0.394 states/eV/atom

---

Model 2:
TeIrPtPb: relaxed, PBE.

Cell lengths 3.7834, 3.7834, 7.9179 Å; angles 90.00, 90.00, 120.00 degrees
Closest atoms and distances in Å follow each position.
Space group P3m1 (No. 156)
Inequivalent atoms, fractional coordinates:
Te 0.0000 0.0000 0.0000 x1  3 Ir 2.58
Ir 0.6667 0.3333 0.1738 x1  3 Te 2.58, 3 Pt 2.73
Pt 0.0000 0.0000 0.3804 x1  3 Ir 2.73, 3 Pb 2.81, 1 Te 3.01
Pb 0.3333 0.6667 0.6030 x1  3 Pt 2.81

Computed properties:
**Calculated volume**: 24.54 Å³ per atom
**D(E_F)**: 0.165 states/eV/atom

---

Model 3:
TeIrPtPb: relaxed, PBE.

Cell lengths 3.0634, 5.1386, 10.9787 Å; angles 90.00, 90.00, 90.00 degrees
Closest atoms and distances in Å follow each position.
Space group Imm2 (No. 44)
Inequivalent atoms, fractional coordinates:
Te 0.0000 0.0000 0.0000 x2  2 Ir 2.64, 1 Pt 2.66
Ir 0.0000 0.5000 0.0538 x2  2 Te 2.64, 2 Pt 2.71
Pt 0.0000 0.0000 0.7577 x2  1 Te 2.66, 2 Ir 2.71
Pb 0.0000 0.0000 0.3214 x2  2 Ir 2.98, 2 Pb 3.06, 4 Pt 3.07

Computed properties:
**Calculated volume**: 21.60 Å³ per atom
**D(E_F)**: 0.634 states/eV/atom

---

Energy ordering: model 2 at the bottom, the next structure 0.059 eV/atom above.

---

Model 1:
TeIrPtPb: relaxed, PBE.

Cell lengths 6.8966, 3.9836, 7.4313 Å; angles 90.00, 108.95, 90.00 degrees
Closest atoms and distances in Å follow each position.
Space group Cm (No. 8)
Inequivalent atoms, fractional coordinates:
Te 0.0000 0.0000 0.0000 x2  3 Ir 2.62-2.63
Ir 0.2304 0.5000 0.1796 x2  3 Te 2.62-2.63, 3 Pt 2.64-2.65
Pt 0.4609 0.0000 0.3653 x2  3 Ir 2.64-2.65, 3 Pb 2.82-2.83
Pb 0.2108 0.0000 0.5999 x2  3 Pt 2.82-2.83

Computed properties:
**Calculated volume**: 24.14 Å³ per atom
**D(E_F)**: 0.539 states/eV/atom

---

Model 2:
TeIrPtPb: relaxed, PBE.

Cell lengths 4.0969, 4.0969, 7.0514 Å; angles 90.00, 90.00, 120.00 degrees
Closest atoms and distances in Å follow each position.
Space group P3m1 (No. 156)
Inequivalent atoms, fractional coordinates:
Te 0.0000 0.0000 0.0000 x1  3 Ir 2.61
Ir 0.6667 0.3333 0.8420 x1  3 Te 2.61, 3 Pt 2.69
Pt 0.3333 0.6667 0.6601 x1  3 Ir 2.69, 3 Pb 2.77
Pb 0.0000 0.0000 0.4546 x1  3 Pt 2.77

Computed properties:
**Calculated volume**: 25.62 Å³ per atom
**D(E_F)**: 0.454 states/eV/atom

---

Energy ordering: model 2 at the bottom, the next structure 0.008 eV/atom above.

---

Model 1:
TeIrPtPb: relaxed, PBE.

Cell lengths 6.8153, 3.9552, 7.3018 Å; angles 90.00, 90.57, 90.00 degrees
Closest atoms and distances in Å follow each position.
Space group Cm (No. 8)
Inequivalent atoms, fractional coordinates:
Te 0.0000 0.0000 0.0000 x2  3 Ir 2.63
Ir 0.1642 0.5000 0.8200 x2  3 Te 2.63, 3 Pt 2.65-2.66
Pt 0.3290 0.0000 0.6325 x2  3 Ir 2.65-2.66, 3 Pb 2.85
Pb 0.1614 0.5000 0.3983 x2  3 Pt 2.85, 1 Ir 3.08

Computed properties:
**Calculated volume**: 24.60 Å³ per atom
**D(E_F)**: 0.631 states/eV/atom

---

Model 2:
TeIrPtPb: relaxed, PBE.

Cell lengths 6.3485, 5.0353, 5.8327 Å; angles 90.00, 106.12, 90.00 degrees
Closest atoms and distances in Å follow each position.
Space group Cm (No. 8)
Inequivalent atoms, fractional coordinates:
Te 0.0000 0.0000 0.0000 x2  1 Ir 2.59, 3 Pt 2.68-2.70
Ir 0.1225 0.0000 0.6111 x2  1 Te 2.59, 1 Pt 2.76, 3 Pb 2.80-2.82
Pt 0.0609 0.5000 0.8627 x2  3 Te 2.68-2.70, 3 Ir 2.76-2.99, 1 Pb 2.89
Pb 0.1667 0.5000 0.4122 x2  3 Ir 2.80-2.82, 2 Pt 2.89-3.09

Computed properties:
**Calculated volume**: 22.39 Å³ per atom
**D(E_F)**: 0.336 states/eV/atom

---

Energy ordering: model 1 at the bottom, the next structure 0.129 eV/atom above.

---

Model 1:
TeIrPtPb: relaxed, PBE.

Cell lengths 4.2300, 4.2300, 5.6310 Å; angles 90.00, 90.00, 120.00 degrees
Closest atoms and distances in Å follow each position.
Space group P3m1 (No. 156)
Inequivalent atoms, fractional coordinates:
Te 0.0000 0.0000 0.0000 x1  3 Ir 2.74, 3 Pt 2.88
Ir 0.3333 0.6667 0.7796 x1  3 Te 2.74, 2 Pt 2.76-2.87, 3 Pb 2.83
Pt 0.3333 0.6667 0.2705 x1  2 Ir 2.76-2.87, 3 Pb 2.83, 3 Te 2.88
Pb 0.6667 0.3333 0.5252 x1  3 Ir 2.83, 3 Pt 2.83

Computed properties:
**Calculated volume**: 21.81 Å³ per atom
**D(E_F)**: 0.463 states/eV/atom

---

Model 2:
TeIrPtPb: relaxed, PBE.

Cell lengths 4.2129, 4.2129, 19.4404 Å; angles 90.00, 90.00, 120.00 degrees
Closest atoms and distances in Å follow each position.
Space group R3m (No. 160, hexagonal axes)
Inequivalent atoms, fractional coordinates:
Te 0.0000 0.0000 0.0000 x3  1 Ir 2.57, 3 Pt 2.66
Ir 0.0000 0.0000 0.1322 x3  1 Te 2.57, 3 Pb 2.69, 3 Pt 2.85
Pt 0.0000 0.0000 0.7222 x3  3 Te 2.66, 3 Ir 2.85
Pb 0.0000 0.0000 0.5248 x3  3 Ir 2.69

Computed properties:
**Calculated volume**: 24.90 Å³ per atom
**D(E_F)**: 0.526 states/eV/atom

---

Model 3:
TeIrPtPb: relaxed, PBE.

Cell lengths 3.9618, 3.9003, 5.7483 Å; angles 90.00, 110.21, 90.00 degrees
Closest atoms and distances in Å follow each position.
Space group Pm (No. 6)
Inequivalent atoms, fractional coordinates:
Te 0.0000 0.0000 0.0000 x1  1 Ir 2.68, 4 Pt 2.85-2.87
Ir 0.7512 0.0000 0.5030 x1  1 Te 2.68, 4 Pb 2.81-2.82, 2 Pt 2.82
Pt 0.5655 0.5000 0.1247 x1  2 Ir 2.82, 4 Te 2.85-2.87, 1 Pb 2.91
Pb 0.2931 0.5000 0.5848 x1  4 Ir 2.81-2.82, 1 Pt 2.91

Computed properties:
**Calculated volume**: 20.84 Å³ per atom
**D(E_F)**: 0.549 states/eV/atom

---

Energy ordering: model 1 at the bottom, the next structure 0.131 eV/atom above.

---

Model 1:
Rb2Ir2Pb: relaxed, PBE.

Cell lengths 3.5663, 3.5663, 24.5903 Å; angles 90.00, 90.00, 90.00 degrees
Closest atoms and distances in Å follow each position.
Space group I4/mmm (No. 139)
Inequivalent atoms, fractional coordinates:
Rb 0.0000 0.0000 0.1273 x4  4 Ir 3.50, 4 Rb 3.57
Ir 0.0000 0.5000 0.2500 x4  4 Ir 2.52
Pb 0.0000 0.0000 0.5000 x2  4 Pb 3.57

Computed properties:
**Calculated volume**: 31.27 Å³ per atom
**D(E_F)**: 1.063 states/eV/atom

---

Model 2:
Rb2Ir2Pb: relaxed, PBE.

Cell lengths 10.0230, 10.0230, 2.8158 Å; angles 90.00, 90.00, 90.00 degrees
Closest atoms and distances in Å follow each position.
Space group P4/mbm (No. 127)
Inequivalent atoms, fractional coordinates:
Rb 0.1184 0.3816 0.0000 x4  2 Rb 2.82
Ir 0.1819 0.6819 0.5000 x4  2 Ir 2.82
Pb 0.0000 0.0000 0.0000 x2  2 Pb 2.82

Computed properties:
**Calculated volume**: 28.29 Å³ per atom
**D(E_F)**: 0.568 states/eV/atom

---

Energy ordering: model 1 at the bottom, the next structure 0.782 eV/atom above.